(1)
# CaTbPm6

A relaxed structure of CaTbPm6 (PBE, the Alexandria database). Values from VASP.

Calculated values
**E_form**: 46 meV/atom
**Calculated volume**: 34.66 A^3/atom
**Theoretical density**: 6.4 g/cm3

Cell and atoms, written as Quantum ESPRESSO input:
```
&SYSTEM
  ibrav = 0, nat = 8, ntyp = 3
/
ATOMIC_SPECIES
Ca 40.08 Ca.upf
Tb 158.93 Tb.upf
Pm 145.00 Pm.upf
ATOMIC_POSITIONS crystal
Ca 0.0000 0.0000 0.0000
Tb 0.0000 0.0000 0.5000
Pm 0.5000 0.5000 0.0000
Pm 0.5000 0.5000 0.5000
Pm 0.5000 0.0000 0.2570
Pm 0.5000 0.0000 0.7430
Pm 0.0000 0.5000 0.2570
Pm 0.0000 0.5000 0.7430
CELL_PARAMETERS angstrom
-3.6112 -1.5373 3.3709
-2.4127 -2.5964 -3.7689
5.6289 -8.4139 2.1930
```

(2)
# TlMo4W

A relaxed structure of TlMo4W (PBE, the Alexandria database). Values from VASP.

Calculated values
**E_form**: 505 meV/atom
**Calculated volume**: 17.27 A^3/atom
**Theoretical density**: 12.4 g/cm3

Cell and atoms, written as Quantum ESPRESSO input:
```
&SYSTEM
  ibrav = 0, nat = 6, ntyp = 3
/
ATOMIC_SPECIES
Tl 204.38 Tl.upf
Mo 95.94 Mo.upf
W 183.84 W.upf
ATOMIC_POSITIONS crystal
Tl 0.7500 0.7500 0.7500
Mo 0.8746 0.3751 0.3751
Mo 0.3751 0.3751 0.8746
Mo 0.3751 0.8746 0.3751
Mo 0.3751 0.3751 0.3751
W 0.0000 0.0000 0.0000
CELL_PARAMETERS angstrom
0.0000 3.7279 3.7279
3.7279 0.0000 3.7279
3.7279 3.7279 0.0000
```

Question: Which value of theoretical density does entry 2 give?
Answer: 12.4 g/cm3

Question: Which of these has the lowest calculated volume?
Answer: TlMo4W

Copy entry 2 word for word.
# TlMo4W

A relaxed structure of TlMo4W (PBE, the Alexandria database). Values from VASP.

Calculated values
**E_form**: 505 meV/atom
**Calculated volume**: 17.27 A^3/atom
**Theoretical density**: 12.4 g/cm3

Cell and atoms, written as Quantum ESPRESSO input:
```
&SYSTEM
  ibrav = 0, nat = 6, ntyp = 3
/
ATOMIC_SPECIES
Tl 204.38 Tl.upf
Mo 95.94 Mo.upf
W 183.84 W.upf
ATOMIC_POSITIONS crystal
Tl 0.7500 0.7500 0.7500
Mo 0.8746 0.3751 0.3751
Mo 0.3751 0.3751 0.8746
Mo 0.3751 0.8746 0.3751
Mo 0.3751 0.3751 0.3751
W 0.0000 0.0000 0.0000
CELL_PARAMETERS angstrom
0.0000 3.7279 3.7279
3.7279 0.0000 3.7279
3.7279 3.7279 0.0000
```

Question: The highest E_form belongs to which entry?
Answer: TlMo4W